Material: Sm2AlRh
Method: DFT, PBE
State: relaxed

Computed properties:
Calculated formation energy (eV per atom): -0.46
M_tot (μB/f.u.): 0.00
ΔE to the lowest computed polymorph (kJ/mol of formula units): 33

Unit cell a=7.2067 b=7.2067 c=7.2067 alpha=90.00 beta=90.00 gamma=90.00
Space group Fm-3m (No. 225)
Unique sites:
Sm 0.2500 0.2500 0.2500 [8 per cell]
Al 0.0000 0.0000 0.0000 [4 per cell]
Rh 0.0000 0.0000 0.5000 [4 per cell]

Material: Th2ScSb2N2
Method: DFT, PBE
State: relaxed

Computed properties:
M_tot (μB/f.u.): 0.00
Formation energy from raw total energies (eV per atom): -1.188

Unit cell a=4.2502 b=4.2502 c=16.2042 alpha=90.00 beta=90.00 gamma=90.00
Space group I4/mmm (No. 139)
Unique sites:
Th 0.0000 0.0000 0.1026 [4 per cell]
Sc 0.0000 0.0000 0.5000 [2 per cell]
Sb 0.0000 0.0000 0.3104 [4 per cell]
N 0.0000 0.5000 0.0000 [4 per cell]

Material: Na3RhF6
Method: DFT, PBE
State: relaxed

Computed properties:
M_tot (μB/f.u.): 0.13
ΔE to the lowest computed polymorph (kJ/mol of formula units): 81
Formation energy from raw total energies (eV per atom): -2.236

Unit cell a=8.3352 b=8.3352 c=8.3352 alpha=90.00 beta=90.00 gamma=90.00
Space group Fm-3m (No. 225)
Unique sites:
Na 0.0000 0.0000 0.0000 [4 per cell]
Na 0.2500 0.2500 0.2500 [8 per cell]
Rh 0.0000 0.0000 0.5000 [4 per cell]
F 0.0000 0.0000 0.2606 [24 per cell]

Material: LiAlAg2
Method: DFT, PBE
State: relaxed

Computed properties:
Calculated formation energy (eV per atom): -0.06
M_tot (μB/f.u.): 0.00

Unit cell a=2.9595 b=2.9595 c=26.5836 alpha=90.00 beta=90.00 gamma=120.00
Space group R-3m (No. 166, hexagonal axes)
Unique sites:
Li 0.0000 0.0000 0.0000 [3 per cell]
Al 0.0000 0.0000 0.5000 [3 per cell]
Ag 0.0000 0.0000 0.2495 [6 per cell]

| no. | total DFT energy (no corrections) (eV for the cell shown) |
| --- | --- |
| 1 | -89.44 |
| 2 | -108.77 |
| 3 | -179.60 |
| 4 | -34.84 |